The following is a meta-GGA SCAN calculation of BTeS3 at its PBEsol-relaxed geometry, from Alexandria via LeMat-Bulk.

- distance to the lowest polymorph of the same formula (eV/atom) = 0.000
- formation energy (no corrections) (eV/atom) = 0.638
- magnetic moment (μB per atom) = 0.000

Cell: 4.225 4.225 4.225 Å, 90.00 90.00 90.00°
Atoms (fractional coordinates):
1 B 0.000 0.000 0.000
2 Te 0.500 0.500 0.500
3 S 0.000 0.000 0.500
4 S 0.000 0.500 0.000
5 S 0.500 0.000 0.000